Material: FeHIr
Method: DFT, PBE-GGA
State: relaxed

Calculated values
M_tot   0.85 μB per atom
Calculated total energy   -6.749 eV/atom

```
data_FeHIr
_cell_length_a 4.835
_cell_length_b 4.281
_cell_length_c 5.652
_cell_angle_alpha 90.00
_cell_angle_beta 90.00
_cell_angle_gamma 90.00
_space_group_name_H-M_alt 'P n m a'
_space_group_IT_number 62
loop_
_space_group_symop_operation_xyz
'x,y,z'
'-x,-y,-z'
'-x+1/2,-y,z+1/2'
'x+1/2,y,-z+1/2'
'x+1/2,-y+1/2,-z+1/2'
'-x+1/2,y+1/2,z+1/2'
'-x,y+1/2,-z'
'x,-y+1/2,z'
loop_
_atom_site_label
_atom_site_fract_x
_atom_site_fract_y
_atom_site_fract_z
Fe1 0.097 0.250 0.110
H1 0.248 0.750 0.881
Ir1 0.073 0.250 0.639
```

Material: FeHIr
Method: DFT, PBE-GGA
State: relaxed

Calculated values
M_tot   1.04 μB per atom
Calculated total energy   -6.485 eV/atom

```
data_FeHIr
_cell_length_a 3.7033
_cell_length_b 3.7033
_cell_length_c 2.7228
_cell_angle_alpha 90.00
_cell_angle_beta 90.00
_cell_angle_gamma 120.00
_space_group_name_H-M_alt 'P -6 m 2'
_space_group_IT_number 187
_space_group_name_Hall 'P -6 2'
loop_
_atom_site_label
_atom_site_fract_x
_atom_site_fract_y
_atom_site_fract_z
Fe1 0.0000 0.0000 0.0000
H1 0.3333 0.6667 0.5000
Ir1 0.6667 0.3333 0.5000
```